Entry from Alexandria: ZrTl2Se after structural relaxation (PBE-GGA).

Output
- E_tot: -4.241 eV/atom
- Formation energy without anion corrections: -0.05 eV/atom

Unit cell a=4.467 b=4.467 c=9.669 alpha=90.00 beta=90.00 gamma=90.00
Space group I-4m2 (No. 119)
Inequivalent atoms, fractional coordinates:
Zr 0.000 0.000 0.000 x2
Tl 0.000 0.000 0.500 x2
Tl 0.000 0.500 0.250 x2
Se 0.000 0.500 0.750 x2